(1)
{
  "formula": "K3Sc",
  "functional": "meta-GGA SCAN",
  "state": "single point on PBEsol structure",
  "cell": [[3.7915, -0.0104, 0.0000], [-1.5091, 3.4783, 0.0000], [0.0000, 0.0000, 14.4362]],
  "species": ["K", "K", "K", "Sc"],
  "fractional_positions": [[0.0000, 0.0000, 0.2792], [0.5000, 0.5000, 0.0000], [0.0000, 0.0000, 0.7208], [0.5000, 0.5000, 0.5000]],
  "ef_mev_per_atom": 480,
  "space_group": "No. 65",
  "de_polymorph_mev_per_atom": 2
}

=====

(2)
{
  "formula": "KSc",
  "functional": "meta-GGA SCAN",
  "state": "single point on PBEsol structure",
  "cell": [[3.4216, 0.0000, 0.0000], [-1.7108, 2.9632, 0.0000], [0.0000, 0.0000, 6.7597]],
  "species": ["Sc", "K"],
  "fractional_positions": [[0.3333, 0.6667, 0.5000], [0.0000, 0.0000, 0.0000]],
  "ef_mev_per_atom": 666,
  "space_group": "No. 187"
}

=====

(3)
{
  "formula": "K3Sc",
  "functional": "meta-GGA SCAN",
  "state": "single point on PBEsol structure",
  "cell": [[-1.3152, -1.0912, 7.2986], [6.8494, -2.9399, 0.7947], [2.7468, 6.8085, 1.5129]],
  "species": ["K", "K", "K", "Sc"],
  "fractional_positions": [[0.5000, 0.0000, 0.0000], [0.0000, 0.5000, 0.0000], [0.0000, 0.0000, 0.5000], [0.0000, 0.0000, 0.0000]],
  "ef_mev_per_atom": 904,
  "space_group": "No. 221",
  "de_polymorph_mev_per_atom": 426
}

=====

Which formula does entry 3 have?
K3Sc